Here is a relaxed structure of BaMg2TlP from Alexandria via LeMat-Bulk. Energies are from PBE.

Space group = P4/mmm, No. 123
Calculated formation energy = 0.754 eV per atom

Geometry as CIF:
```
data_BaMg2TlP
_space_group_name_H-M_alt 'P 1'
_space_group_IT_number 1
_cell_length_a 6.553
_cell_length_b 6.553
_cell_length_c 5.573
_cell_angle_alpha 90.00
_cell_angle_beta 90.00
_cell_angle_gamma 90.00
loop_
_space_group_symop_operation_xyz
'x,y,z'
loop_
_atom_site_label
_atom_site_type_symbol
_atom_site_fract_x
_atom_site_fract_y
_atom_site_fract_z
Ba1 Ba 0.000 0.000 0.000
Mg1 Mg 0.000 0.500 0.000
Mg2 Mg 0.500 0.000 0.000
Tl1 Tl 0.500 0.500 0.500
P1 P 0.000 0.000 0.500
```